(1)
Material: CuGePO2
Method: DFT, GGA-PBE
State: optimized geometry

Structure (extended XYZ):
```
5
Lattice="3.557 0.000 0.000 0.000 3.557 0.000 0.000 0.000 5.549" Properties=species:S:1:pos:R:3 pbc="T T T"
Cu 0.000 0.000 0.000
Ge 1.779 1.779 2.774
P 1.779 1.779 0.000
O 0.000 1.779 2.774
O 1.779 0.000 2.774
```

Properties
**Space-group type**: P4/mmm, No. 123
**Formation energy from raw total energies**: -0.19 eV per atom
**Volume**: 14.0 Å³ per atom
**Polymorph energy (0 for the lowest one)**: 0.000 eV per atom

=====

(2)
Material: NdLu2O
Method: DFT, GGA-PBE
State: optimized geometry

Structure (extended XYZ):
```
4
Lattice="3.176 0.000 0.000 0.000 3.176 0.000 0.000 0.000 8.600" Properties=species:S:1:pos:R:3 pbc="T T T"
Nd 0.000 0.000 0.000
Lu 1.588 1.588 2.764
Lu 1.588 1.588 5.836
O 0.000 0.000 4.300
```

Properties
**Space-group type**: P4/mmm, No. 123
**Formation energy from raw total energies**: -0.77 eV per atom
**Volume**: 21.7 Å³ per atom
**Polymorph energy (0 for the lowest one)**: 0.434 eV per atom